Record 1
The following is a GGA-PBE calculation of a geometry-optimized ScZnC3 structure, from Alexandria.

Summary:
DOS at the Fermi energy: 2.7 states/eV/cell
Electronic total energy: -25.420 eV/cell
Space group: Pm-3m (221)
Excess energy over the best structure of this formula in the dataset: 0 meV per atom

Lattice parameters (Å, degrees): 3.9211 3.9211 3.9211 90.00 90.00 90.00
Fractional positions:
Sc: 0.5000 0.5000 0.5000
Zn: 0.0000 0.0000 0.0000
C: 0.0000 0.5000 0.0000
C: 0.0000 0.0000 0.5000
C: 0.5000 0.0000 0.0000

Record 2
The following is a GGA-PBE calculation of a geometry-optimized Sc2ZnC structure, from Alexandria.

Summary:
DOS at the Fermi energy: 2.9 states/eV/cell
Electronic total energy: -19.766 eV/cell
Space group: R-3m (166)

Lattice parameters (Å, degrees): 8.7289 8.7289 8.7289 22.13 22.13 22.13
Fractional positions:
Sc: 0.9176 0.9176 0.9176
Sc: 0.0824 0.0824 0.0824
Zn: 0.5000 0.5000 0.5000
C: 0.0000 0.0000 0.0000

Record 3
The following is a GGA-PBE calculation of a geometry-optimized Sc2ZnC structure, from Alexandria.

Summary:
DOS at the Fermi energy: 2.8 states/eV/cell
Electronic total energy: -21.858 eV/cell
Space group: Fm-3m (225)

Lattice parameters (Å, degrees): 4.4101 4.4101 4.4101 60.00 60.00 60.00
Fractional positions:
Sc: 0.2500 0.2500 0.2500
Sc: 0.7500 0.7500 0.7500
Zn: 0.5000 0.5000 0.5000
C: 0.0000 0.0000 0.0000

no.,size of the total moment (μB per formula unit),E_form (eV/atom)
1,0.000,1.97
2,0.000,0.85
3,0.000,0.33